Entry 1:
DFT (SCAN) results for a PBEsol-optimized structure of SrNdScO4.

The structure belongs to space group Cmc2_1 (No. 36); the cell edges are 5.6098, 12.2138 and 5.8261 Å and the angles 90.00°, 90.00° and 90.00°. The inequivalent atoms are Sr at (0.0000, 0.1046, 0.0000), Nd at (0.0000, 0.3917, 0.9720), Sc at (0.0000, 0.2474, 0.4826), O at (0.0000, 0.0835, 0.4202), O at (0.0000, 0.4298, 0.5783) and O at (0.2435, 0.2745, 0.2265).

The calculation puts the density of states at the Fermi level at 0.00 states/eV per cell. The uncorrected formation energy is -3551 meV/atom.

***

Entry 2:
DFT (SCAN) results for a PBEsol-optimized structure of Nd2Se3O9.

The structure belongs to space group Pnma (No. 62); the cell edges are 8.3187, 13.9753 and 6.9339 Å and the angles 90.00°, 90.00° and 90.00°. The inequivalent atoms are Nd at (0.2011, 0.0623, 0.1828), Se at (0.0402, 0.7500, 0.9071), Se at (0.0483, 0.1265, 0.6795), O at (0.0519, 0.6525, 0.7550), O at (0.0760, 0.0402, 0.8566), O at (0.1168, 0.5714, 0.4135), O at (0.1650, 0.2500, 0.0676) and O at (0.2095, 0.0994, 0.5335).

The calculation puts the density of states at the Fermi level at 0.00 states/eV per cell. The uncorrected formation energy is -2064 meV/atom.